VASP calculation (PBE-GGA) on an optimized crystal structure of FeRe2Rh6.

Summary:
D(E_F) = 8.4 states/eV/cell
Magnetization = 2.35 μB per cell
V = 126.92 Å³ per cell
Space group = Fmmm (69)
Total energy = -0.320 hartree per atom
ΔH_f (0 K) = -89 meV per atom
Crystal system = orthorhombic

a b c (Å): 3.8466 6.0324 6.0829
angles (deg): 84.21 71.57 71.41
Closest atoms and distances in Å follow each position.
Fractional coordinates of all 9 atoms:
Fe  0.0000  0.5000  0.5000  8 Rh 2.65-2.66, 4 Re 2.74
Rh  0.9952  0.1780  0.8315  3 Re 2.65-2.66, 1 Fe 2.65, 8 Rh 2.71-2.82
Rh  0.3393  0.8214  0.5000  2 Fe 2.66, 2 Re 2.68, 8 Rh 2.71-2.81
Rh  0.6732  0.8220  0.8315  3 Re 2.65-2.66, 1 Fe 2.66, 8 Rh 2.71-2.82
Rh  0.0048  0.8220  0.1685  3 Re 2.65-2.66, 1 Fe 2.65, 8 Rh 2.71-2.82
Rh  0.6607  0.1786  0.5000  2 Fe 2.66, 2 Re 2.68, 8 Rh 2.71-2.81
Rh  0.3268  0.1780  0.1685  3 Re 2.65-2.66, 1 Fe 2.66, 8 Rh 2.71-2.82
Re  0.6693  0.5000  0.1614  8 Rh 2.65-2.68, 2 Re 2.68, 2 Fe 2.74
Re  0.3307  0.5000  0.8386  8 Rh 2.65-2.68, 2 Re 2.68, 2 Fe 2.74

---

VASP calculation (PBE-GGA) on an optimized crystal structure of LaScCu2.

Summary:
D(E_F) = 2.9 states/eV/cell
Magnetization = 0.00 μB per cell
V = 88.27 Å³ per cell
Space group = R-3m (166)
Energy relative to the lowest polymorph listed for this composition = 18.6 meV per atom
Total energy = -0.185 hartree per atom
ΔH_f (0 K) = -173 meV per atom
Crystal system = trigonal

a b c (Å): 4.6246 4.6246 5.4627
angles (deg): 64.96 64.96 60.00
Closest atoms and distances in Å follow each position.
Fractional coordinates of all 4 atoms:
Cu  0.7950  0.7950  0.6151  3 Sc 2.73, 3 Cu 2.89, 1 La 2.93
Cu  0.2050  0.2050  0.3849  3 Sc 2.73, 3 Cu 2.89, 1 La 2.93
Sc  0.5000  0.5000  0.5000  6 Cu 2.73
La  0.0000  0.0000  0.0000  8 Cu 2.93-3.24

---

Q: Which value of magnetization does entry 2 give?
A: 0.00 μB per cell